Record 1
First-principles (PBE) data for crystalline BaNbH at its relaxed geometry, as listed in Alexandria.

Results
* total DFT energy (no corrections): -9.87 eV per formula unit
* total magnetic moment: 5.975 μB/f.u.
* space group: F-43m (216)

```
BaNbH
1.0
0.000 3.771 3.771
3.771 0.000 3.771
3.771 3.771 0.000
H Nb Ba
1 1 1
direct
0.250 0.250 0.250 H
0.750 0.750 0.750 Nb
0.000 0.000 0.000 Ba
```

---

Record 2
First-principles (PBE) data for crystalline CaTa at its relaxed geometry, as listed in Alexandria.

Results
* total DFT energy (no corrections): -12.76 eV per formula unit
* total magnetic moment: 0.000 μB/f.u.
* space group: Cm (8)
* energy of formation from the pure elements: 1.09 eV/f.u.

```
CaTa
1.0
1.797 6.329 0.094
-1.797 6.329 0.094
0.000 2.046 7.196
Ca Ta
3 3
direct
0.336 0.336 0.366 Ca
0.642 0.642 0.732 Ca
0.620 0.620 0.218 Ca
0.955 0.955 0.997 Ta
0.949 0.949 0.637 Ta
0.330 0.330 0.884 Ta
```